PBE-GGA La3NdGe2N, optimized geometry; electronic total energy = -6.187 eV per atom; total magnetization = 0.000 μB/f.u.; SG = Immm, No. 71
1.0
-3.4821 0.0417 3.4386
3.0286 -2.2527 3.0943
2.8743 8.2287 -0.6718
Nd La N Ge
1 3 1 2
Cartesian
-1.7411 0.0209 1.7193
1.5155 3.5820 4.9738
1.5143 -1.1264 1.5471
0.9053 2.4357 0.8872
0.0000 0.0000 0.0000
0.4928 0.8306 3.9716
1.9280 5.1872 1.8894

---

PBE-GGA TeC2Se, optimized geometry; electronic total energy = -3.705 eV per atom; total magnetization = 0.000 μB/f.u.; energy relative to the lowest polymorph listed for this composition = 638 meV/atom; SG = Fm-3m, No. 225
1.0
3.3716 -2.4315 -1.1692
0.9693 -3.5652 2.2353
-0.6498 -3.8918 -1.7545
Te C Se
1 2 1
Cartesian
1.8456 -4.9443 -0.3442
2.7683 -7.4164 -0.5163
0.9228 -2.4721 -0.1721
0.0000 0.0000 0.0000

---

PBE-GGA Ba2TlCd4Pb3, optimized geometry; electronic total energy = -2.403 eV per atom; total magnetization = 0.000 μB/f.u.; E_form = -303 meV/atom; SG = P-4m2, No. 115
1.0
4.9928 0.0000 0.0000
0.0000 4.9928 0.0000
0.0000 0.0000 12.8827
Pb Cd Ba Tl
3 4 2 1
Cartesian
2.4964 0.0000 11.1279
0.0000 0.0000 6.4414
0.0000 2.4964 1.7548
2.4964 2.4964 0.0000
2.4964 0.0000 8.1999
0.0000 2.4964 4.6828
0.0000 0.0000 0.0000
0.0000 2.4964 9.7351
2.4964 0.0000 3.1476
2.4964 2.4964 6.4414

---

PBE-GGA Cs12Au6I, optimized geometry; electronic total energy = -2.014 eV per atom; total magnetization = 0.003 μB/f.u.; SG = Im-3, No. 204
1.0
10.6116 0.0000 -3.7518
-5.3058 9.1899 -3.7518
0.0000 0.0000 11.2553
Cs Au I
12 6 1
Cartesian
4.5911 4.6528 4.7626
4.2867 1.6496 1.0108
-2.9239 7.5404 -0.0472
5.0682 6.3024 0.0472
0.7148 4.5371 -1.0108
7.0397 2.8876 -2.7410
2.6195 1.2380 7.5508
-1.7339 6.3024 6.4927
0.2376 2.8876 3.7046
8.2297 1.6496 3.7990
1.0192 7.5404 2.7410
2.6863 7.9520 -3.7990
4.7125 1.0277 4.5909
0.5933 8.1622 -0.8391
-2.0596 5.6227 2.9127
1.4662 4.5950 6.6644
3.8396 4.5950 -2.9127
7.3654 3.5673 0.8391
0.0000 0.0000 0.0000

---

PBE-GGA GaBiC2, optimized geometry; electronic total energy = -4.188 eV per atom; total magnetization = 0.000 μB/f.u.; energy relative to the lowest polymorph listed for this composition = 1089 meV/atom; E_form = 2151 meV/atom; SG = Fm-3m, No. 225
1.0
0.0000 3.0772 3.0772
3.0772 0.0000 3.0772
3.0772 3.0772 0.0000
C Bi Ga
2 1 1
Cartesian
4.6157 4.6157 4.6157
1.5386 1.5386 1.5386
3.0772 3.0772 3.0772
0.0000 0.0000 0.0000

---

PBE-GGA V6Co12Au, optimized geometry; electronic total energy = -7.322 eV per atom; total magnetization = 0.002 μB/f.u.; E_form = 218 meV/atom; SG = R-3m, No. 166
1.0
-6.6145 0.9157 -0.1680
1.3560 -4.3661 4.8700
2.8501 5.8258 1.5986
V Co Au
6 12 1
Cartesian
-3.7554 1.1385 1.8318
-0.1092 -1.2777 4.1364
0.5742 3.3846 2.6399
-2.2991 3.6531 2.1642
-2.9826 -1.0091 3.6607
1.3470 1.2370 4.4689
2.4756 3.0967 3.8372
-4.3031 3.2413 1.1916
-0.6233 5.1503 1.8784
1.8947 -0.8658 5.1091
-1.1635 0.4773 4.9066
-4.8840 -0.7213 2.4635
-1.5756 -0.3574 2.1180
-0.8328 2.7329 4.1827
-2.9274 1.6462 3.7917
-1.2449 1.8981 1.3940
-1.7851 -2.7748 4.4222
0.5190 0.7292 2.5089
0.0000 0.0000 0.0000

---

PBE-GGA ReHgTe2, optimized geometry; electronic total energy = -4.384 eV per atom; total magnetization = 0.000 μB/f.u.; energy relative to the lowest polymorph listed for this composition = 152 meV/atom; SG = Cm, No. 8
1.0
-1.4891 0.1671 -5.3873
-0.1508 -2.8576 -4.8042
-5.9910 -2.8935 -1.2593
Te Hg Re
2 1 1
Cartesian
-1.9606 -2.7075 -9.5438
-5.3415 -4.0179 -8.5817
-3.0922 -2.5391 -6.0731
-2.6918 -1.8020 -3.1691

---

PBE-GGA NaYHf, optimized geometry; electronic total energy = -5.697 eV per atom; total magnetization = 0.000 μB/f.u.; energy relative to the lowest polymorph listed for this composition = 96 meV/atom; E_form = 215 meV/atom; SG = P-1, No. 2
1.0
10.1695 -0.1808 0.0654
-0.4741 3.2792 -0.0237
0.8552 -1.5110 5.2941
Hf Y Na
2 2 2
Cartesian
7.0374 2.7071 0.4860
8.8279 -0.3580 3.2666
9.9443 1.4547 0.6073
5.9210 0.8951 3.1461
2.0069 1.9900 3.1502
3.6920 0.5401 0.5414

---

PBE-GGA Ca2LaSe, optimized geometry; electronic total energy = -3.882 eV per atom; total magnetization = 0.000 μB/f.u.; SG = P4/mmm, No. 123
1.0
-3.4167 0.1961 1.3597
0.6459 -2.9873 2.0538
3.1159 5.5105 7.0352
Ca Se La
2 1 1
Cartesian
1.7674 3.1257 3.9906
2.9064 5.1400 6.5623
0.9515 2.7372 6.9832
-0.6064 -0.0180 3.4655

---

PBE-GGA AgW, optimized geometry; electronic total energy = -7.013 eV per atom; total magnetization = 0.000 μB/f.u.; energy relative to the lowest polymorph listed for this composition = 546 meV/atom; E_form = 889 meV/atom; SG = Pnma, No. 62
1.0
-1.2502 -2.2812 1.4526
5.2173 -2.1917 1.0483
0.3991 4.4779 7.3760
Ag W
4 4
Cartesian
2.3353 -1.3735 4.4362
4.1091 0.2041 8.4405
2.0309 1.3785 5.4407
0.2571 -0.1991 1.4363
1.4496 1.5437 8.2554
2.9166 -1.5387 1.6215
-0.1843 -0.0927 4.2792
4.5504 0.0977 5.5977

---

PBE-GGA InMo3C, optimized geometry; electronic total energy = -8.714 eV per atom; total magnetization = 0.000 μB/f.u.; energy relative to the lowest polymorph listed for this composition = 0 meV/atom; E_form = 177 meV/atom; SG = Pm-3m, No. 221
1.0
4.2239 0.0000 0.0000
0.0000 4.2239 0.0000
0.0000 0.0000 4.2239
In Mo C
1 3 1
Cartesian
2.1119 2.1119 2.1119
0.0000 0.0000 2.1119
0.0000 2.1119 0.0000
2.1119 0.0000 0.0000
0.0000 0.0000 0.0000

---

PBE-GGA Na3SeCl, optimized geometry; electronic total energy = -3.000 eV per atom; total magnetization = 0.000 μB/f.u.; energy relative to the lowest polymorph listed for this composition = 0 meV/atom; SG = Pm-3m, No. 221
1.0
-4.1443 3.2702 -1.2783
-0.5448 -2.5525 -4.7635
-3.4686 -3.5063 2.2755
Na Se Cl
3 1 1
Cartesian
-0.2724 -1.2762 -2.3818
-2.0721 1.6351 -0.6391
-1.7343 -1.7531 1.1378
0.0000 0.0000 0.0000
-4.0789 -1.3943 -1.8832